The following is a DFT calculation (GGA-PBE) of a geometry-optimized CuAg2W structure.

Lattice parameters (Å, degrees): 4.8318 4.8318 5.1765 98.32 98.32 32.51
Last column: nearest neighbours and their distance in Å.
Fractional positions:
Cu 0.0000 0.0000 0.0000  3 W 2.70-2.79, 2 Cu 2.71, 5 Ag 2.81-2.93
Ag 0.5026 0.5026 0.5244  5 Ag 2.71-2.89, 4 Cu 2.81-3.03, 3 W 2.81-2.89
Ag 0.7445 0.7445 0.2694  5 Ag 2.71-2.89, 3 Cu 2.82-2.93, 4 W 2.86-2.99
W 0.2586 0.2586 0.7878  3 Cu 2.70-2.79, 2 W 2.71, 7 Ag 2.81-2.99

Summary:
As for the density of states at the Fermi level: 2.87 states/eV/f.u. As for the symmetry: Cm, No. 8. The calculation puts the energy above the most stable polymorph in this dataset at 22.6 kJ/mol of atoms. As for the raw total energy: -5.116 eV/atom. The value obtained for the formation energy is 0.57 eV/atom.

The following is a DFT calculation (GGA-PBE) of a geometry-optimized CuAgW structure.

Lattice parameters (Å, degrees): 6.3453 6.3453 6.3453 154.97 154.97 35.69
Last column: nearest neighbours and their distance in Å.
Fractional positions:
Cu 0.0000 0.0000 0.0000  4 W 2.67, 4 Cu 2.75, 4 Ag 2.78
Ag 0.6643 0.6643 0.0000  4 Ag 2.75, 4 Cu 2.78, 4 W 2.95
W 0.3483 0.3483 0.0000  4 Cu 2.67, 4 W 2.75, 4 Ag 2.95

Summary:
As for the density of states at the Fermi level: 1.79 states/eV/f.u. As for the symmetry: I4mm, No. 107. The calculation puts the energy above the most stable polymorph in this dataset at 0.0 kJ/mol of atoms. As for the raw total energy: -6.207 eV/atom. The value obtained for the formation energy is 0.43 eV/atom.

The following is a DFT calculation (GGA-PBE) of a geometry-optimized CuAgW structure.

Lattice parameters (Å, degrees): 5.0302 5.0302 5.0302 149.33 134.38 55.97
Last column: nearest neighbours and their distance in Å.
Fractional positions:
Cu 0.0000 0.0000 0.0000  2 Cu 2.66, 4 W 2.72, 5 Ag 2.78-2.97
Ag 0.3344 0.3344 0.0000  2 Ag 2.66, 5 Cu 2.78-2.97, 5 W 2.81-2.87
W 0.6510 0.6510 0.0000  2 W 2.66, 4 Cu 2.72, 5 Ag 2.81-2.87

Summary:
As for the density of states at the Fermi level: 2.95 states/eV/f.u. As for the symmetry: Imm2, No. 44. The calculation puts the energy above the most stable polymorph in this dataset at 26.0 kJ/mol of atoms. As for the raw total energy: -5.938 eV/atom. The value obtained for the formation energy is 0.70 eV/atom.

The following is a DFT calculation (GGA-PBE) of a geometry-optimized CuAgW structure.

Lattice parameters (Å, degrees): 7.0545 6.9171 2.6733 81.88 76.09 22.03
Last column: nearest neighbours and their distance in Å.
Fractional positions:
Cu 0.0000 0.0000 0.0000  2 W 2.64, 4 Cu 2.67, 2 Ag 2.74
Ag 0.6642 0.6642 0.3358  4 Ag 2.67, 2 Cu 2.74, 2 W 2.92
W 0.3446 0.3446 0.6554  2 Cu 2.64, 4 W 2.67, 2 Ag 2.92

Summary:
As for the density of states at the Fermi level: 1.80 states/eV/f.u. As for the symmetry: Fmm2, No. 42. The calculation puts the energy above the most stable polymorph in this dataset at 2.0 kJ/mol of atoms. As for the raw total energy: -6.186 eV/atom. The value obtained for the formation energy is 0.45 eV/atom.